The following is a PBE calculation of Dy2HfCd after structural relaxation, from Alexandria.

Computed properties:
total magnetization = 0.00 μB per formula unit
energy = -20.5 eV per cell
energy of formation = -0.095 eV/atom
SG = P4/mmm, No. 123

Geometry as POSCAR:
```
Dy2HfCd
1.0
3.404 0.000 0.000
0.000 3.404 0.000
0.000 0.000 9.053
Cd Hf Dy
1 1 2
Cartesian
1.702 1.702 0.000
1.702 1.702 4.527
0.000 0.000 6.802
0.000 0.000 2.251
```

***

The following is a PBE calculation of Li4ZnGa after structural relaxation, from Alexandria.

Computed properties:
total magnetization = 0.00 μB per formula unit
energy = -26.5 eV per cell
energy of formation = -0.217 eV/atom
SG = Cmcm, No. 63

Geometry as POSCAR:
```
Li4ZnGa
1.0
6.096 2.872 -4.778
-6.409 -5.212 0.083
-2.683 3.276 -1.453
Li Zn Ga
8 2 2
Cartesian
-2.609 1.549 -2.033
-4.693 0.192 -1.244
-0.226 0.585 -1.711
1.855 1.921 -2.542
-0.386 -0.613 -4.116
-2.770 0.351 -4.438
1.698 0.744 -4.904
-4.851 -0.985 -3.607
-2.360 -1.342 -2.115
-0.636 2.278 -4.034
3.832 2.661 -4.522
-6.828 -1.725 -1.626
```

***

The following is a PBE calculation of Al2SiAg2 after structural relaxation, from Alexandria.

Computed properties:
total magnetization = 0.00 μB per formula unit
energy = -34.9 eV per cell
ΔE_f (raw) = 0.23 eV/atom
SG = P4/mbm, No. 127

Geometry as POSCAR:
```
Al2SiAg2
1.0
-3.708 -5.523 4.212
1.764 -5.366 -5.485
2.414 -0.589 1.352
Si Al Ag
2 4 4
Cartesian
0.000 0.000 0.000
-0.972 -5.445 -0.637
1.763 -4.806 -2.280
0.198 -8.449 -1.074
-1.292 -6.672 2.359
0.272 -3.030 1.154
0.168 -6.685 -3.210
-2.101 -8.186 0.185
-2.111 -4.204 1.937
0.157 -2.704 -1.458
```

***

The following is a PBE calculation of Pm2SiAsRh6 after structural relaxation, from Alexandria.

Computed properties:
total magnetization = 0.00 μB per formula unit
energy = -69.6 eV per cell
ΔE_f (raw) = -0.59 eV/atom
SG = P-1, No. 2

Geometry as POSCAR:
```
Pm2SiAsRh6
1.0
-0.556 2.847 -5.557
-1.711 -5.914 -2.785
-5.618 -1.039 -3.373
Pm Si As Rh
2 1 1 6
Cartesian
-3.784 0.055 -6.599
-4.101 -4.161 -5.115
-1.134 -1.534 -4.171
0.000 0.000 0.000
-3.225 -0.837 -3.587
-6.963 -3.022 -9.766
-6.691 -4.664 -6.654
-1.194 0.558 -5.059
-0.922 -1.084 -1.947
-4.660 -3.269 -8.127
```

***

The following is a PBE calculation of Sm2ZrGa after structural relaxation, from Alexandria.

Computed properties:
total magnetization = 0.00 μB per formula unit
energy = -21.7 eV per cell
energy of formation = -0.169 eV/atom
SG = P4/mmm, No. 123

Geometry as POSCAR:
```
Sm2ZrGa
1.0
-1.037 -2.992 -1.411
3.290 -1.088 -0.113
-0.874 -3.474 8.012
Ga Zr Sm
1 1 2
Cartesian
1.126 -2.040 -0.762
0.689 -3.777 3.245
-0.675 -2.684 6.190
-0.199 -0.790 1.822
```

***

The following is a PBE calculation of KSi2Cl after structural relaxation, from Alexandria.

Computed properties:
total magnetization = 0.00 μB per formula unit
energy = -14.2 eV per cell
ΔE_f (raw) = -0.09 eV/atom
SG = P4/mmm, No. 123

Geometry as POSCAR:
```
KSi2Cl
1.0
-2.528 -0.848 -2.764
2.882 -0.458 -2.496
0.497 -8.322 2.100
Cl K Si
1 1 2
Cartesian
-1.016 -4.585 -0.332
1.689 -4.390 -0.198
0.000 0.000 0.000
0.177 -0.653 -2.630
```

***

The following is a PBE calculation of Tb4Ru3Rh after structural relaxation, from Alexandria.

Computed properties:
total magnetization = 0.00 μB per formula unit
energy = -57.2 eV per cell
energy of formation = -0.440 eV/atom
SG = Pmmm, No. 47

Geometry as POSCAR:
```
Tb4Ru3Rh
1.0
3.428 0.000 0.000
0.000 4.838 0.000
0.000 0.000 9.650
Ru Tb Rh
3 4 1
Cartesian
1.714 0.000 2.397
1.714 2.419 4.825
1.714 0.000 7.254
0.000 0.000 4.825
0.000 2.419 7.205
0.000 0.000 0.000
0.000 2.419 2.445
1.714 2.419 0.000
```

***

The following is a PBE calculation of NdLuPu after structural relaxation, from Alexandria.

Computed properties:
total magnetization = 6.12 μB per formula unit
energy = -23.3 eV per cell
energy of formation = 0.121 eV/atom
SG = I4mm, No. 107

Geometry as POSCAR:
```
NdLuPu
1.0
-3.017 0.557 -1.726
1.241 -1.809 -2.753
-1.894 -5.617 5.089
Lu Nd Pu
1 1 1
Cartesian
-1.841 -2.764 -1.264
-3.661 -6.849 0.601
-1.839 -4.127 1.884
```

***

Q: Which formula does entry 4 have?
A: Pm2SiAsRh6

***

Q: Which value of energy does entry 8 give?
A: -23.3 eV per cell

***

Q: Among the records above, which one has the highest energy?
A: KSi2Cl